Record 1
First-principles (GGA-PBE) data for a relaxed structure of Zr3NiC, as listed in the Alexandria database.

Results
For the total magnetization, the calculation gives 0.000 μB/cell. As for the density of states at the Fermi level: 7.90 states/eV per cell. For the uncorrected energy, the calculation gives -8.66 eV per atom. As for the formation enthalpy at 0 K: -534 meV/atom. The distance to the lowest polymorph of the same formula is 0.000 eV per atom.

a = 3.340 Å, b = 5.909 Å, c = 8.937 Å
α = 90.00°, β = 90.00°, γ = 106.43°
Sites, in units of the cell vectors:
1 Zr 0.869 0.738 0.564
2 Zr 0.131 0.262 0.436
3 Zr 0.131 0.262 0.064
4 Zr 0.869 0.738 0.936
5 Zr 0.433 0.867 0.250
6 Zr 0.567 0.133 0.750
7 Ni 0.750 0.499 0.250
8 Ni 0.250 0.501 0.750
9 C 0.500 0.000 0.000
10 C 0.500 0.000 0.500


Record 2
First-principles (GGA-PBE) data for a relaxed structure of ZrNiC3, as listed in the Alexandria database.

Results
For the total magnetization, the calculation gives 0.000 μB/cell. As for the density of states at the Fermi level: 4.61 states/eV per cell. For the uncorrected energy, the calculation gives -6.96 eV per atom. As for the formation enthalpy at 0 K: 1444 meV/atom. The distance to the lowest polymorph of the same formula is 0.000 eV per atom.

a = 3.761 Å, b = 3.761 Å, c = 3.761 Å
α = 90.00°, β = 90.00°, γ = 90.00°
Sites, in units of the cell vectors:
1 Ni 0.000 0.000 0.000
2 C 0.000 0.500 0.000
3 C 0.000 0.000 0.500
4 C 0.500 0.000 0.000
5 Zr 0.500 0.500 0.500


Record 3
First-principles (GGA-PBE) data for a relaxed structure of NpC2, as listed in the Alexandria database.

Results
For the total magnetization, the calculation gives 3.400 μB/cell. As for the density of states at the Fermi level: 7.51 states/eV per cell. For the uncorrected energy, the calculation gives -10.24 eV per atom. As for the formation enthalpy at 0 K: 221 meV/atom.

a = 4.072 Å, b = 4.072 Å, c = 4.771 Å
α = 90.00°, β = 90.00°, γ = 90.00°
Each line ends with the local moment (μB).
Sites, in units of the cell vectors:
1 Np 0.500 0.500 0.000  1.82
2 Np 0.000 0.000 0.500  1.82
3 C 0.882 0.882 0.000  -0.07
4 C 0.118 0.118 0.000  -0.07
5 C 0.618 0.382 0.500  -0.07
6 C 0.382 0.618 0.500  -0.07


Record 4
First-principles (GGA-PBE) data for a relaxed structure of Np2C, as listed in the Alexandria database.

Results
For the total magnetization, the calculation gives 0.000 μB/cell. For the uncorrected energy, the calculation gives -11.30 eV per atom. As for the formation enthalpy at 0 K: 406 meV/atom.

a = 3.378 Å, b = 3.378 Å, c = 4.445 Å
α = 112.33°, β = 112.33°, γ = 90.00°
Sites, in units of the cell vectors:
1 Np 0.668 0.668 0.336
2 Np 0.332 0.332 0.664
3 C 0.000 0.000 0.000


Record 5
First-principles (GGA-PBE) data for a relaxed structure of Np4C, as listed in the Alexandria database.

Results
For the total magnetization, the calculation gives 12.730 μB/cell. As for the density of states at the Fermi level: 15.89 states/eV per cell. For the uncorrected energy, the calculation gives -11.60 eV per atom. As for the formation enthalpy at 0 K: 593 meV/atom.

a = 4.662 Å, b = 4.662 Å, c = 4.662 Å
α = 90.00°, β = 90.00°, γ = 90.00°
Each line ends with the local moment (μB).
Sites, in units of the cell vectors:
1 Np 0.000 0.000 0.000  3.68
2 Np 0.500 0.000 0.500  2.85
3 Np 0.000 0.500 0.500  2.85
4 Np 0.500 0.500 0.000  2.85
5 C 0.500 0.500 0.500  -0.13


Record 6
First-principles (GGA-PBE) data for a relaxed structure of Np2C3, as listed in the Alexandria database.

Results
For the total magnetization, the calculation gives 21.949 μB/cell. As for the density of states at the Fermi level: 33.09 states/eV per cell. For the uncorrected energy, the calculation gives -10.66 eV per atom. As for the formation enthalpy at 0 K: 54 meV/atom.

a = 6.957 Å, b = 6.957 Å, c = 6.957 Å
α = 109.47°, β = 109.47°, γ = 109.47°
Each line ends with the local moment (μB).
Sites, in units of the cell vectors:
1 Np 0.500 0.000 0.598  2.76
2 Np 0.000 0.598 0.500  2.76
3 Np 0.598 0.500 0.000  2.76
4 Np 0.902 0.902 0.902  2.76
5 Np 0.000 0.098 0.500  2.76
6 Np 0.500 0.000 0.098  2.76
7 Np 0.098 0.500 0.000  2.76
8 Np 0.402 0.402 0.402  2.76
9 C 0.250 0.037 0.787  -0.08
10 C 0.750 0.463 0.713  -0.08
11 C 0.750 0.287 0.537  -0.08
12 C 0.250 0.213 0.963  -0.08
13 C 0.037 0.787 0.250  -0.08
14 C 0.463 0.713 0.750  -0.08
15 C 0.287 0.537 0.750  -0.08
16 C 0.213 0.963 0.250  -0.08
17 C 0.787 0.250 0.037  -0.08
18 C 0.713 0.750 0.463  -0.08
19 C 0.537 0.750 0.287  -0.08
20 C 0.963 0.250 0.213  -0.08


Record 7
First-principles (GGA-PBE) data for a relaxed structure of NpCO6, as listed in the Alexandria database.

Results
For the total magnetization, the calculation gives 1.045 μB/cell. As for the density of states at the Fermi level: 7.62 states/eV per cell. For the uncorrected energy, the calculation gives -8.09 eV per atom. The raw formation energy comes out at -1.601 eV/atom.

a = 5.161 Å, b = 5.334 Å, c = 5.334 Å
α = 67.66°, β = 87.80°, γ = 92.20°
Each line ends with the local moment (μB).
Sites, in units of the cell vectors:
1 Np 0.500 0.500 0.500  0.61
2 C 0.000 0.000 0.000  0.00
3 O 0.814 0.875 0.125  0.00
4 O 0.297 0.767 0.520  0.10
5 O 0.186 0.125 0.875  0.00
6 O 0.703 0.520 0.767  0.10
7 O 0.703 0.233 0.480  0.10
8 O 0.297 0.480 0.233  0.10


Record 8
First-principles (GGA-PBE) data for a relaxed structure of NpCO, as listed in the Alexandria database.

Results
For the total magnetization, the calculation gives 4.152 μB/cell. As for the density of states at the Fermi level: 15.42 states/eV per cell. For the uncorrected energy, the calculation gives -9.90 eV per atom. The raw formation energy comes out at -0.856 eV/atom.

a = 3.511 Å, b = 6.840 Å, c = 5.897 Å
α = 90.00°, β = 90.00°, γ = 90.00°
Each line ends with the local moment (μB).
Sites, in units of the cell vectors:
1 O 0.250 0.846 0.470  -0.08
2 O 0.750 0.346 0.030  -0.08
3 O 0.250 0.654 0.970  -0.08
4 O 0.750 0.154 0.530  -0.08
5 C 0.750 0.936 0.126  -0.14
6 C 0.750 0.564 0.626  -0.14
7 C 0.250 0.064 0.874  -0.14
8 C 0.250 0.436 0.374  -0.14
9 Np 0.750 0.609 0.245  1.30
10 Np 0.750 0.891 0.745  1.30
11 Np 0.250 0.109 0.255  1.30
12 Np 0.250 0.391 0.755  1.30